First-principles (GGA-PBE) data for a relaxed Tb3Nd3Mg2 crystal, as listed in the Alexandria database.

The total energy is -3.862 eV/atom. As for the formation energy: 0.061 eV per atom. As for the crystal system: orthorhombic. As for the mass density: 6.3 g cm⁻³.

The space group is Cmcm (No. 63) and the conventional cell measures 5.395, 11.861 and 15.795 Å, with angles of 90.00, 90.00 and 90.00 degrees. The inequivalent atoms are Tb at (0.000, 0.025, 0.250), Tb at (0.000, 0.145, 0.533), Nd at (0.000, 0.250, 0.750), Nd at (0.000, 0.462, 0.604) and Mg at (0.000, 0.271, 0.145).

***

First-principles (GGA-PBE) data for a relaxed Ti2CuRh2 crystal, as listed in the Alexandria database.

The total energy is -7.399 eV/atom. As for the formation energy: -0.481 eV per atom. As for the crystal system: tetragonal. As for the mass density: 7.9 g cm⁻³. The energy above the most stable polymorph in this dataset is 0.000 eV per atom.

The space group is P4/mbm (No. 127) and the conventional cell measures 7.220, 7.220 and 2.959 Å, with angles of 90.00, 90.00 and 90.00 degrees. The inequivalent atoms are Ti at (0.161, 0.339, 0.000), Cu at (0.000, 0.000, 0.500) and Rh at (0.140, 0.640, 0.500).

***

First-principles (GGA-PBE) data for a relaxed Ca2Ac6La crystal, as listed in the Alexandria database.

The total energy is -3.431 eV/atom. As for the formation energy: 0.300 eV per atom. As for the crystal system: orthorhombic. As for the mass density: 6.2 g cm⁻³. The energy above the most stable polymorph in this dataset is 0.230 eV per atom.

The space group is Cmmm (No. 65) and the conventional cell measures 9.144, 15.484 and 5.952 Å, with angles of 90.00, 90.00 and 90.00 degrees. The inequivalent atoms are Ca at (0.000, 0.214, 0.000), Ac at (0.192, 0.365, 0.500), Ac at (0.236, 0.500, 0.000) and La at (0.000, 0.000, 0.500).

***

Which of these has the highest mass density?
Ti2CuRh2

***

Which of these has the highest mass density?
Ti2CuRh2

***

The highest mass density belongs to which entry?
Ti2CuRh2

***

What is the formula in the third record?
Ca2Ac6La